# 1
A plane-wave DFT calculation with PBE-GGA was carried out for a geometry-optimized NaCeTe4Pb2 structure.

Values from the calculation:
energy relative to the elements, uncorrected	-798	meV per atom

a = 7.915 Å, b = 4.602 Å, c = 8.034 Å
α = 90.00°, β = 108.71°, γ = 90.00°
Atoms (fractional coordinates):
Na  0.000  0.000  0.000
Ce  0.500  0.500  0.000
Te  0.255  0.500  0.245
Te  0.256  0.000  0.758
Te  0.744  0.000  0.242
Te  0.745  0.500  0.755
Pb  0.000  0.500  0.500
Pb  0.500  0.000  0.500

***

# 2
A plane-wave DFT calculation with PBE-GGA was carried out for a geometry-optimized NaCeZnPb structure.

Values from the calculation:
formation energy	-0.181	eV/atom

a = 5.305 Å, b = 5.305 Å, c = 5.305 Å
α = 60.00°, β = 60.00°, γ = 60.00°
Atoms (fractional coordinates):
Na  0.000  0.000  0.000
Ce  0.500  0.500  0.500
Zn  0.750  0.750  0.750
Pb  0.250  0.250  0.250

***

# 3
A plane-wave DFT calculation with PBE-GGA was carried out for a geometry-optimized NaCe2Pd structure.

Values from the calculation:
formation energy	0.041	eV/atom

a = 11.961 Å, b = 11.961 Å, c = 11.961 Å
α = 14.96°, β = 14.96°, γ = 14.96°
Atoms (fractional coordinates):
Na  0.000  0.000  0.000
Ce  0.097  0.097  0.097
Ce  0.903  0.903  0.903
Pd  0.500  0.500  0.500

***

Number 1: theoretical density 6.52 g/cm3, energy -4.20 eV per atom. Number 2: theoretical density 6.85 g/cm3, energy -3.24 eV per atom. Number 3: theoretical density 6.85 g/cm3, energy -4.55 eV per atom.